No. 1
# CrCo2Mo

A geometry-optimized CrCo2Mo structure (PBE, Alexandria via LeMat-Bulk). Values from VASP.

Cell and atoms, written as Quantum ESPRESSO input:
```
&SYSTEM
  ibrav = 0, nat = 4, ntyp = 3
/
ATOMIC_SPECIES
Cr 52.00 Cr.upf
Co 58.93 Co.upf
Mo 95.94 Mo.upf
ATOMIC_POSITIONS angstrom
Cr 0.0000 0.0000 0.0000
Co 1.2782 1.8178 1.2943
Co 1.2782 -1.8178 1.2943
Mo 2.5564 0.0000 0.0000
CELL_PARAMETERS angstrom
2.5564 -3.6355 0.0000
2.5564 3.6355 0.0000
0.0000 0.0000 2.5886
```

Calculated values
- Raw total energy: -8.59 eV per atom
- V: 12.03 Å³/atom
- Polymorph energy (0 for the lowest one): 42 meV/atom
- Formation energy from the elements: 0.314 eV/f.u.

---

No. 2
# CdNiSb

A geometry-optimized CdNiSb structure (PBE, Alexandria via LeMat-Bulk). Values from VASP.

Cell and atoms, written as Quantum ESPRESSO input:
```
&SYSTEM
  ibrav = 0, nat = 3, ntyp = 3
/
ATOMIC_SPECIES
Cd 112.41 Cd.upf
Ni 58.69 Ni.upf
Sb 121.76 Sb.upf
ATOMIC_POSITIONS angstrom
Cd 0.0000 0.0000 0.0000
Ni 0.0000 1.9236 1.9349
Sb 1.6659 0.9618 3.6036
CELL_PARAMETERS angstrom
3.3318 0.0000 0.0000
-1.6659 2.8855 0.0000
0.0000 0.0000 6.3575
```

Calculated values
- Formation energy without anion corrections: 52 meV/atom
- Raw total energy: -3.55 eV per atom
- V: 20.37 Å³/atom

---

No. 3
# USe6Cl12

A geometry-optimized USe6Cl12 structure (PBE, Alexandria via LeMat-Bulk). Values from VASP.

Cell and atoms, written as Quantum ESPRESSO input:
```
&SYSTEM
  ibrav = 0, nat = 19, ntyp = 3
/
ATOMIC_SPECIES
U 238.03 U.upf
Se 78.96 Se.upf
Cl 35.45 Cl.upf
ATOMIC_POSITIONS angstrom
U 0.0000 0.0000 0.0000
Se -0.9577 -1.0997 6.2100
Se -0.4735 1.3793 6.2100
Se 1.4312 -0.2796 6.2100
Se -1.4312 0.2796 13.4595
Se 0.4735 -1.3793 13.4595
Se 0.9577 1.0997 13.4595
Cl -5.3419 1.3892 7.9950
Cl -2.9757 -2.1190 8.2494
Cl -3.8740 -3.9316 11.6745
Cl 1.4679 -5.3208 7.9950
Cl -3.3230 1.5176 11.4201
Cl 0.3472 -3.6365 11.4201
Cl -0.3472 3.6365 8.2494
Cl 3.3230 -1.5176 8.2494
Cl -1.4679 5.3208 11.6745
Cl 3.8740 3.9316 7.9950
Cl 2.9757 2.1190 11.4202
Cl 5.3419 -1.3892 11.6745
CELL_PARAMETERS angstrom
5.8260 3.3636 6.5565
-5.8260 3.3636 6.5565
0.0000 -6.7273 6.5565
```

Calculated values
- Formation energy without anion corrections: -560 meV/atom
- Raw total energy: -3.42 eV per atom
- V: 40.57 Å³/atom

---

No. 4
# Mg4NiRh5

A geometry-optimized Mg4NiRh5 structure (PBE, Alexandria via LeMat-Bulk). Values from VASP.

Cell and atoms, written as Quantum ESPRESSO input:
```
&SYSTEM
  ibrav = 0, nat = 10, ntyp = 3
/
ATOMIC_SPECIES
Mg 24.30 Mg.upf
Ni 58.69 Ni.upf
Rh 102.91 Rh.upf
ATOMIC_POSITIONS angstrom
Mg 0.0000 0.0000 1.5725
Mg 0.0000 0.0000 4.6964
Mg 0.0000 0.0000 10.6915
Mg 0.0000 0.0000 13.8155
Ni 0.0000 0.0000 7.6940
Rh 1.5491 1.5491 0.0000
Rh 1.5491 1.5491 3.1481
Rh 1.5491 1.5491 6.3210
Rh 1.5491 1.5491 9.0670
Rh 1.5491 1.5491 12.2399
CELL_PARAMETERS angstrom
3.0983 0.0000 0.0000
0.0000 3.0983 0.0000
0.0000 0.0000 15.3880
```

Calculated values
- Raw total energy: -5.23 eV per atom
- V: 14.77 Å³/atom
- Formation energy from the elements: -3.374 eV/f.u.